1.
PbAuO2, relaxed, DFT PBE-GGA; electronic total energy = -4.8375 eV/atom; crystal system = triclinic
1.0
3.7615 -0.0003 -0.0004
0.0661 5.6604 0.0002
0.9076 0.2071 6.9056
Au O Pb
2 4 2
Cartesian
0.4538 0.1035 3.4528 Au
0.0000 0.0000 0.0000 Au
3.4093 3.9753 2.9912 O
1.1465 4.8157 5.1681 O
3.5887 1.0515 1.7373 O
1.3259 1.8919 3.9141 O
3.2844 3.0001 5.0900 Pb
1.4508 2.8671 1.8154 Pb

---

2.
Ca3TcN, relaxed, DFT PBE-GGA; electronic total energy = -3.6285 eV/atom; relative energy among the computed polymorphs = 1180 meV per atom; crystal system = cubic
1.0
-1.0549 5.2084 0.1143
-5.2036 -1.0590 0.2341
0.2522 -0.0654 5.3090
Ca N Tc
3 1 1
Cartesian
0.1261 -0.0327 2.6545 Ca
-0.5274 2.6042 0.0571 Ca
-2.6018 -0.5295 0.1171 Ca
-3.0031 2.0420 2.8287 N
0.0000 0.0000 0.0000 Tc

---

3.
AlOsSe2N, relaxed, DFT PBE-GGA; electronic total energy = -5.0810 eV/atom; relative energy among the computed polymorphs = 609 meV per atom; crystal system = tetragonal
1.0
4.9279 0.0000 0.0000
0.0000 4.9279 0.0000
0.0000 0.0000 3.4584
Os Se Al N
1 2 1 1
Cartesian
2.4640 2.4640 1.7292 Os
0.0000 2.4640 0.0000 Se
2.4640 0.0000 0.0000 Se
0.0000 0.0000 0.0000 Al
0.0000 0.0000 1.7292 N

---

4.
Y2MgAgTe, relaxed, DFT PBE-GGA; electronic total energy = -4.2782 eV/atom; crystal system = tetragonal
1.0
5.5598 0.0000 0.0000
0.0000 4.9521 0.0000
0.0000 0.0000 5.5598
Y Ag Te Mg
2 1 1 1
Cartesian
0.0000 0.0000 2.7799 Y
2.7799 0.0000 0.0000 Y
0.0000 0.0000 0.0000 Ag
2.7799 2.4760 2.7799 Te
0.0000 2.4760 0.0000 Mg

---

5.
BeIr2Se, relaxed, DFT PBE-GGA; electronic total energy = -5.8627 eV/atom; relative energy among the computed polymorphs = 335 meV per atom; crystal system = tetragonal
1.0
4.9899 -0.0174 0.0000
2.3612 4.3959 0.0000
-3.6756 -2.1893 2.5684
Se Be Ir
1 1 2
Cartesian
3.6756 2.1893 0.0000 Se
2.4950 -0.0087 1.2842 Be
1.1806 2.1980 1.2842 Ir
0.0000 0.0000 0.0000 Ir

---

6.
ZnHgS2Br, relaxed, DFT PBE-GGA; electronic total energy = -1.5048 eV/atom; crystal system = tetragonal
1.0
4.8382 0.0000 0.0000
0.0000 6.2874 0.0000
0.0000 0.0000 4.8382
Zn Br Hg S
1 1 1 2
Cartesian
2.4191 3.1437 2.4191 Zn
0.0000 0.0000 0.0000 Br
0.0000 3.1437 0.0000 Hg
2.4191 0.0000 0.0000 S
0.0000 0.0000 2.4191 S

---

7.
NaNbFe2Os, relaxed, DFT PBE-GGA; electronic total energy = -6.5434 eV/atom; formation energy = 1365 meV per atom; crystal system = tetragonal
1.0
-4.4800 -0.8498 -0.2601
0.2040 -2.3640 4.2099
-0.8675 3.8918 2.2274
Os Nb Fe Na
1 1 2 1
Cartesian
0.0000 0.0000 0.0000 Os
0.1020 -1.1820 2.1049 Nb
-2.2400 -0.4249 -0.1300 Fe
-0.4338 1.9459 1.1137 Fe
-2.5717 0.3390 3.0886 Na

---

8.
TbTmPa, relaxed, DFT PBE-GGA; electronic total energy = -6.0542 eV/atom; relative energy among the computed polymorphs = 32 meV per atom; formation energy = 145 meV per atom; crystal system = tetragonal
1.0
3.3934 0.0000 0.0000
0.0000 3.3934 0.0000
-1.6967 -1.6967 7.4979
Tb Tm Pa
1 1 1
Cartesian
1.6967 1.6967 7.3655 Tb
1.6967 1.6967 2.6460 Tm
0.0000 0.0000 4.9843 Pa

---

| no. | mass density (g cm⁻³) |
| --- | --- |
| 1 | 9.852 |
| 2 | 2.568 |
| 3 | 7.694 |
| 4 | 4.747 |
| 5 | 13.898 |
| 6 | 4.626 |
| 7 | 6.882 |
| 8 | 10.749 |